First-principles (PBE with a Hubbard U) data for crystalline Li2NiO2 at its relaxed geometry, as listed in the Alexandria database.

* total magnetization: 2.00 μB per formula unit
* total energy: -4.79 eV per atom
* polymorph energy (0 for the lowest one): 0 meV/atom
* crystal system: trigonal

a b c (Å): 3.127 3.127 5.085
angles (deg): 90.00 90.00 120.00
Positions (direct):
1 Li 0.333 0.667 0.141
2 Li 0.667 0.333 0.859
3 Ni 0.000 0.000 0.500
4 O 0.333 0.667 0.734
5 O 0.667 0.333 0.266